(1)
{"formula": "CsZnHg", "functional": "PBE", "state": "optimized geometry", "cell": [[4.7898, 2.8955, 1.1456], [0.7595, 2.3396, 5.1564], [3.8713, -2.1873, 3.5871]], "species": ["Hg", "Cs", "Zn"], "frac_coords": [[0.7500, 0.7500, 0.7500], [0.2500, 0.2500, 0.2500], [0.0000, 0.0000, 0.0000]], "sg": "F-43m", "e_above_lowest_polymorph_ev_per_atom": 0.000}

***

(2)
{"formula": "Hf4Nb2Co3C3", "functional": "PBE", "state": "optimized geometry", "cell": [[4.7367, -2.7373, 0.0000], [4.7367, 2.7373, 0.0000], [-3.2182, 0.0000, 13.2942]], "species": ["Hf", "Hf", "Hf", "Hf", "Hf", "Hf", "Hf", "Hf", "Nb", "Nb", "Nb", "Nb", "Co", "Co", "Co", "Co", "Co", "Co", "C", "C", "C", "C", "C", "C"], "frac_coords": [[0.0338, 0.1984, 0.5964], [0.6996, 0.8668, 0.5963], [0.9662, 0.8016, 0.4036], [0.8016, 0.9662, 0.9036], [0.3004, 0.1332, 0.4037], [0.1332, 0.3004, 0.9037], [0.8668, 0.6996, 0.0963], [0.1984, 0.0338, 0.0964], [0.5339, 0.3680, 0.1013], [0.3680, 0.5339, 0.6013], [0.6320, 0.4661, 0.3987], [0.4661, 0.6320, 0.8987], [0.1044, 0.4160, 0.2508], [0.5840, 0.8956, 0.2492], [0.4160, 0.1044, 0.7508], [0.0736, 0.9264, 0.2500], [0.8956, 0.5840, 0.7492], [0.9264, 0.0736, 0.7500], [0.3400, 0.8198, 0.5000], [0.5000, 0.0000, 0.0000], [0.6600, 0.1802, 0.5000], [0.8198, 0.3400, 0.0000], [0.0000, 0.5000, 0.5000], [0.1802, 0.6600, 0.0000]], "final_energy_ev_per_atom": -9.393, "magmom_total_mub_per_atom": 0.03, "sg": "C2/c"}

***

| no. | density (g/cm3) |
| --- | --- |
| 1 | 5.02 |
| 2 | 10.72 |